DFT (PBE with a Hubbard U) results for a geometry-optimized NaSr3V2O8 structure.

Values from the calculation:
- DOS(E_F) (states/eV/atom) = 0.525
- theoretical density (g cm⁻³) = 4.1
- electronic total energy (eV per cell) = -93.948

```
NaSr3V2O8
1.0
5.7786 0.0000 0.0000
-2.8893 5.0045 0.0000
0.0000 0.0000 7.2960
O V Sr Na
8 2 3 1
direct
0.8284 0.1716 0.7022
0.1716 0.3433 0.2978
0.8284 0.6567 0.7022
0.1716 0.8284 0.2978
0.6567 0.8284 0.2978
0.6667 0.3333 0.0421
0.3333 0.6667 0.9579
0.3433 0.1716 0.7022
0.6667 0.3333 0.8022
0.3333 0.6667 0.1978
0.3333 0.6667 0.6420
0.6667 0.3333 0.3580
0.0000 0.0000 0.0000
0.0000 0.0000 0.5000
```